Entry from the Open Quantum Materials Database: an optimized crystal structure of PmNbHg (GGA-PBE).

The structure in CIF format:
```
data_PmNbHg
_chemical_formula_sum 'Pm4 Nb4 Hg4'
_symmetry_space_group_name_H-M 'F -4 3 m'
_symmetry_Int_Tables_number 216
_symmetry_space_group_name_Hall 'F -4 2 3'
_cell_length_a 6.956
_cell_length_b 6.956
_cell_length_c 6.956
_cell_angle_alpha 90.00
_cell_angle_beta 90.00
_cell_angle_gamma 90.00
loop_
_atom_site_label
_atom_site_type_symbol
_atom_site_fract_x
_atom_site_fract_y
_atom_site_fract_z
Pm1 Pm 0.000 0.000 0.000
Nb1 Nb 0.000 0.000 0.500
Hg1 Hg 0.250 0.250 0.750
```

Volume: 28.050 A^3/atom
Calculated total energy: -4.441 eV/atom
Energy of formation: 0.605 eV per atom